Entry 1:
Computed, not measured: Sm2Tl3Pb3 after structural relaxation at the PBE level of DFT.

a b c (Å): 4.956 4.774 9.695
angles (deg): 90.00 90.00 90.00
Fractional coordinates of all 8 atoms:
Sm 0.000 0.000 0.751
Sm 0.000 0.000 0.249
Tl 0.500 0.500 0.754
Tl 0.500 0.500 0.246
Tl 0.500 0.000 0.000
Pb 0.500 0.000 0.500
Pb 0.000 0.500 0.000
Pb 0.000 0.500 0.500

Results
Energy of formation from the pure elements = -0.315 eV per atom
Fermi-level density of states = 4.57 states/eV/cell
Electronic total energy = -3.772 eV/atom
M_tot = 0.00 μB/f.u.
Crystal system = orthorhombic


Entry 2:
Computed, not measured: Sm7Tl2Pb2 after structural relaxation at the PBE level of DFT.

a b c (Å): 7.127 7.760 7.127
angles (deg): 90.00 108.50 90.00
Fractional coordinates of all 11 atoms:
Sm 0.000 0.291 0.500
Sm 0.500 0.709 0.000
Sm 0.000 0.709 0.500
Sm 0.500 0.291 0.000
Sm 0.000 0.000 0.000
Sm 0.500 0.747 0.500
Sm 0.500 0.253 0.500
Tl 0.716 0.000 0.284
Tl 0.284 0.000 0.716
Pb 0.817 0.500 0.817
Pb 0.183 0.500 0.183

Results
Energy of formation from the pure elements = -0.077 eV per atom
Fermi-level density of states = 11.18 states/eV/cell
Electronic total energy = -4.185 eV/atom
M_tot = 0.00 μB/f.u.
Crystal system = orthorhombic


Entry 3:
Computed, not measured: Sm6Tl6Pb after structural relaxation at the PBE level of DFT.

a b c (Å): 6.616 6.616 10.562
angles (deg): 90.00 90.00 120.01
Fractional coordinates of all 13 atoms:
Sm 0.000 0.000 0.694
Sm 0.000 0.000 0.306
Sm 0.333 0.667 0.000
Sm 0.667 0.333 0.000
Sm 0.333 0.667 0.500
Sm 0.667 0.333 0.500
Tl 0.000 0.500 0.748
Tl 0.500 0.000 0.748
Tl 0.500 0.500 0.748
Tl 0.500 0.000 0.252
Tl 0.000 0.500 0.252
Tl 0.500 0.500 0.252
Pb 0.000 0.000 0.000

Results
Energy of formation from the pure elements = -0.239 eV per atom
Fermi-level density of states = 15.71 states/eV/cell
Electronic total energy = -3.794 eV/atom
M_tot = 0.00 μB/f.u.
Crystal system = hexagonal


Entry 4:
Computed, not measured: Sm2Tl9Pb after structural relaxation at the PBE level of DFT.

a b c (Å): 4.879 4.879 14.551
angles (deg): 90.00 90.00 90.00
Fractional coordinates of all 12 atoms:
Sm 0.000 0.000 0.341
Sm 0.000 0.000 0.659
Tl 0.500 0.500 0.000
Tl 0.500 0.500 0.337
Tl 0.500 0.500 0.663
Tl 0.500 0.000 0.171
Tl 0.500 0.000 0.500
Tl 0.500 0.000 0.829
Tl 0.000 0.500 0.171
Tl 0.000 0.500 0.500
Tl 0.000 0.500 0.829
Pb 0.000 0.000 0.000

Results
Energy of formation from the pure elements = -0.147 eV per atom
Fermi-level density of states = 7.50 states/eV/cell
Electronic total energy = -3.017 eV/atom
M_tot = 0.00 μB/f.u.
Crystal system = tetragonal


Entry 5:
Computed, not measured: Sm2Tl2Pb after structural relaxation at the PBE level of DFT.

a b c (Å): 7.157 6.515 8.098
angles (deg): 106.99 90.00 123.32
Fractional coordinates of all 10 atoms:
Sm 0.543 0.353 0.660
Sm 0.190 0.647 0.840
Sm 0.457 0.647 0.340
Sm 0.810 0.353 0.160
Tl 0.787 0.787 0.053
Tl 0.000 0.213 0.447
Tl 0.213 0.213 0.947
Tl 0.000 0.787 0.553
Pb 0.682 0.000 0.750
Pb 0.318 0.000 0.250

Results
Energy of formation from the pure elements = -0.335 eV per atom
Energy above the lowest structure with this stoichiometry = 0 meV/atom
Fermi-level density of states = 4.58 states/eV/cell
Electronic total energy = -3.911 eV/atom
M_tot = 0.00 μB/f.u.
Crystal system = monoclinic


Entry 6:
Computed, not measured: Sm4TlPb3 after structural relaxation at the PBE level of DFT.

a b c (Å): 5.065 9.079 10.131
angles (deg): 90.00 90.00 90.00
Fractional coordinates of all 16 atoms:
Pb 0.000 0.000 0.000
Pb 0.000 0.000 0.500
Pb 0.500 0.000 0.750
Pb 0.500 0.000 0.250
Pb 0.500 0.500 0.750
Pb 0.500 0.500 0.250
Tl 0.000 0.500 0.000
Tl 0.000 0.500 0.500
Sm 0.500 0.749 0.000
Sm 0.500 0.749 0.500
Sm 0.500 0.251 0.000
Sm 0.500 0.251 0.500
Sm 0.000 0.749 0.750
Sm 0.000 0.749 0.250
Sm 0.000 0.251 0.250
Sm 0.000 0.251 0.750

Results
Energy of formation from the pure elements = -0.465 eV per atom
Fermi-level density of states = 14.25 states/eV/cell
Electronic total energy = -4.511 eV/atom
M_tot = 0.00 μB/f.u.
Crystal system = tetragonal


Entry 7:
Computed, not measured: Sm10Tl3Pb3 after structural relaxation at the PBE level of DFT.

a b c (Å): 6.884 9.219 9.219
angles (deg): 120.00 90.00 90.00
Fractional coordinates of all 16 atoms:
Sm 0.246 0.667 0.333
Sm 0.246 0.333 0.667
Sm 0.754 0.333 0.667
Sm 0.754 0.667 0.333
Sm 0.500 0.000 0.762
Sm 0.500 0.762 0.000
Sm 0.500 0.238 0.238
Sm 0.000 0.000 0.236
Sm 0.000 0.236 0.000
Sm 0.000 0.764 0.764
Tl 0.000 0.000 0.600
Tl 0.000 0.600 0.000
Tl 0.000 0.400 0.400
Pb 0.500 0.000 0.397
Pb 0.500 0.397 0.000
Pb 0.500 0.603 0.603

Results
Energy of formation from the pure elements = -0.416 eV per atom
Fermi-level density of states = 18.28 states/eV/cell
Electronic total energy = -4.505 eV/atom
M_tot = 0.00 μB/f.u.
Crystal system = hexagonal


Entry 8:
Computed, not measured: Sm5Tl4Pb after structural relaxation at the PBE level of DFT.

a b c (Å): 3.712 3.712 20.954
angles (deg): 90.00 90.00 90.00
Fractional coordinates of all 10 atoms:
Sm 0.500 0.500 0.101
Sm 0.500 0.500 0.301
Sm 0.500 0.500 0.500
Sm 0.500 0.500 0.699
Sm 0.500 0.500 0.899
Tl 0.000 0.000 0.203
Tl 0.000 0.000 0.401
Tl 0.000 0.000 0.599
Tl 0.000 0.000 0.797
Pb 0.000 0.000 0.000

Results
Energy of formation from the pure elements = -0.400 eV per atom
Fermi-level density of states = 5.75 states/eV/cell
Electronic total energy = -4.077 eV/atom
M_tot = 0.00 μB/f.u.
Crystal system = tetragonal